Material: PuPt2Pb
Method: DFT, GGA-PBE
State: relaxed

Cell lengths 3.5330, 3.5330, 6.9772 Å; angles 90.00, 90.00, 90.00 degrees
With the nearest neighbours (Å) after each atom.
Fractional coordinates of all 4 atoms:
Pb 0.5000 0.5000 0.5000  8 Pt 3.11
Pt 0.0000 0.0000 0.7658  4 Pu 2.99, 4 Pb 3.11, 1 Pt 3.27
Pt 0.0000 0.0000 0.2342  4 Pu 2.99, 4 Pb 3.11, 1 Pt 3.27
Pu 0.5000 0.5000 0.0000  8 Pt 2.99

Raw total energy: -7.95 eV/atom
Calculated formation energy: -9.661 kcal/mol of atoms



Material: Pu6Pt5Pb
Method: DFT, GGA-PBE
State: relaxed

Cell lengths 5.4411, 5.9806, 8.6589 Å; angles 90.00, 109.84, 90.00 degrees
With the nearest neighbours (Å) after each atom.
Fractional coordinates of all 12 atoms:
Pb 0.0000 0.0000 0.0000  2 Pt 2.99, 8 Pu 3.14-3.23
Pt 0.6525 0.5000 0.3272  2 Pt 2.99, 8 Pu 3.02-3.10
Pt 0.3513 0.0000 0.6749  2 Pt 2.99, 8 Pu 3.05-3.13
Pt 0.0000 0.5000 0.0000  2 Pb 2.99, 8 Pu 3.07-3.21
Pt 0.6487 0.0000 0.3251  2 Pt 2.99, 8 Pu 3.05-3.13
Pt 0.3475 0.5000 0.6728  2 Pt 2.99, 8 Pu 3.02-3.10
Pu 0.8348 0.7467 0.6500  2 Pu 2.95-3.03, 7 Pt 3.02-3.21, 1 Pb 3.23
Pu 0.8348 0.2533 0.6501  2 Pu 2.95-3.03, 7 Pt 3.02-3.21, 1 Pb 3.23
Pu 0.5000 0.2618 0.0000  2 Pu 2.85-3.13, 6 Pt 3.02-3.08, 2 Pb 3.14
Pu 0.5000 0.7382 0.0000  2 Pu 2.85-3.13, 6 Pt 3.02-3.08, 2 Pb 3.14
Pu 0.1652 0.7467 0.3499  2 Pu 2.95-3.03, 7 Pt 3.02-3.21, 1 Pb 3.23
Pu 0.1652 0.2533 0.3500  2 Pu 2.95-3.03, 7 Pt 3.02-3.21, 1 Pb 3.23

Raw total energy: -10.58 eV/atom
Calculated formation energy: -13.597 kcal/mol of atoms